No. 1
This record from Alexandria via LeMat-Bulk describes crystalline MnCu2Ni6 at its relaxed geometry. The functional is GGA-PBE.

Results
* uncorrected energy: -51.01 eV per formula unit
* energy relative to the elements: 0.1159 eV/atom

Cell lengths 6.9710, 6.9710, 2.4432 Å; angles 90.00, 90.00, 120.00 degrees
Space group P-31m (No. 162)
Inequivalent atoms, fractional coordinates:
Mn (0.0000, 0.0000, 0.0000) (multiplicity 1)
Cu (0.3333, 0.6667, 0.5000) (multiplicity 2)
Ni (0.0000, 0.3316, 0.2334) (multiplicity 6)

=====

No. 2
This record from Alexandria via LeMat-Bulk describes crystalline MnCuNi5 at its relaxed geometry. The functional is GGA-PBE.

Results
* uncorrected energy: -40.89 eV per formula unit
* energy relative to the elements: 0.1838 eV/atom

Cell lengths 7.082, 7.461, 6.447 Å; angles 90.00, 90.00, 90.00 degrees
Space group Imma (No. 74)
Inequivalent atoms, fractional coordinates:
Mn (0.250, 0.250, 0.250) (multiplicity 4)
Cu (0.000, 0.250, 0.547) (multiplicity 4)
Ni (0.000, 0.022, 0.250) (multiplicity 8)
Ni (0.000, 0.250, 0.962) (multiplicity 4)
Ni (0.249, 0.000, 0.000) (multiplicity 8)

=====

No. 3
This record from Alexandria via LeMat-Bulk describes crystalline Mn2CuNi2 at its relaxed geometry. The functional is GGA-PBE.

Results
* uncorrected energy: -33.37 eV per formula unit
* energy relative to the elements: 0.1246 eV/atom

Cell lengths 6.777, 6.777, 2.761 Å; angles 90.00, 90.00, 90.00 degrees
Space group P4/mbm (No. 127)
Inequivalent atoms, fractional coordinates:
Mn (0.164, 0.336, 0.000) (multiplicity 4)
Cu (0.000, 0.000, 0.500) (multiplicity 2)
Ni (0.133, 0.633, 0.500) (multiplicity 4)

=====

No. 4
This record from Alexandria via LeMat-Bulk describes crystalline MnCu3Ni at its relaxed geometry. The functional is GGA-PBE.

Results
* uncorrected energy: -20.63 eV per formula unit
* energy relative to the elements: 1.3216 eV/atom

Cell lengths 4.421, 4.421, 4.421 Å; angles 90.00, 90.00, 90.00 degrees
Space group Pm-3m (No. 221)
Inequivalent atoms, fractional coordinates:
Mn (0.000, 0.000, 0.000) (multiplicity 1)
Cu (0.000, 0.000, 0.500) (multiplicity 3)
Ni (0.500, 0.500, 0.500) (multiplicity 1)

=====

No. 5
This record from Alexandria via LeMat-Bulk describes crystalline MnCu2Ni9 at its relaxed geometry. The functional is GGA-PBE.

Results
* uncorrected energy: -69.51 eV per formula unit
* energy relative to the elements: -0.0094 eV/atom

Cell lengths 3.546, 3.546, 10.664 Å; angles 90.00, 90.00, 90.00 degrees
Space group P4/mmm (No. 123)
Inequivalent atoms, fractional coordinates:
Mn (0.000, 0.000, 0.000) (multiplicity 1)
Cu (0.000, 0.000, 0.335) (multiplicity 2)
Ni (0.000, 0.500, 0.168) (multiplicity 4)
Ni (0.000, 0.500, 0.500) (multiplicity 2)
Ni (0.500, 0.500, 0.000) (multiplicity 1)
Ni (0.500, 0.500, 0.334) (multiplicity 2)

=====

No. 6
This record from Alexandria via LeMat-Bulk describes crystalline MnCu3Ni at its relaxed geometry. The functional is GGA-PBE.

Results
* uncorrected energy: -22.87 eV per formula unit
* energy relative to the elements: 0.8734 eV/atom

Cell lengths 4.359, 4.359, 4.359 Å; angles 90.00, 90.00, 90.00 degrees
Space group Pm-3m (No. 221)
Inequivalent atoms, fractional coordinates:
Mn (0.000, 0.000, 0.000) (multiplicity 1)
Cu (0.000, 0.500, 0.500) (multiplicity 3)
Ni (0.500, 0.500, 0.500) (multiplicity 1)

=====

No. 7
This record from Alexandria via LeMat-Bulk describes crystalline MnCuNi at its relaxed geometry. The functional is GGA-PBE.

Results
* uncorrected energy: -18.77 eV per formula unit
* energy relative to the elements: 0.0907 eV/atom

Cell lengths 4.0685, 4.0685, 2.5415 Å; angles 90.00, 90.00, 120.00 degrees
Space group P3m1 (No. 156)
Inequivalent atoms, fractional coordinates:
Mn (0.0000, 0.0000, 0.0000) (multiplicity 1)
Cu (0.3333, 0.6667, 0.6405) (multiplicity 1)
Ni (0.6667, 0.3333, 0.3128) (multiplicity 1)

=====

No. 8
This record from Alexandria via LeMat-Bulk describes crystalline MnCu5Ni6 at its relaxed geometry. The functional is GGA-PBE.

Results
* uncorrected energy: -64.17 eV per formula unit
* energy relative to the elements: 0.0143 eV/atom

Cell lengths 4.326, 5.117, 6.189 Å; angles 90.00, 91.82, 90.00 degrees
Space group P2/m (No. 10)
Inequivalent atoms, fractional coordinates:
Mn (0.000, 0.000, 0.000) (multiplicity 1)
Cu (0.000, 0.500, 0.000) (multiplicity 1)
Cu (0.336, 0.500, 0.668) (multiplicity 2)
Cu (0.337, 0.000, 0.665) (multiplicity 2)
Ni (0.163, 0.250, 0.332) (multiplicity 4)
Ni (0.500, 0.250, 0.000) (multiplicity 2)

=====

No. 9
This record from Alexandria via LeMat-Bulk describes crystalline MnCu4Ni at its relaxed geometry. The functional is GGA-PBE.

Results
* uncorrected energy: -30.46 eV per formula unit
* energy relative to the elements: 0.1455 eV/atom

Cell lengths 6.709, 6.709, 6.709 Å; angles 90.00, 90.00, 90.00 degrees
Space group F-43m (No. 216)
Inequivalent atoms, fractional coordinates:
Mn (0.000, 0.000, 0.000) (multiplicity 4)
Cu (0.125, 0.125, 0.375) (multiplicity 16)
Ni (0.250, 0.250, 0.750) (multiplicity 4)

=====

No. 10
This record from Alexandria via LeMat-Bulk describes crystalline MnCu6Ni2 at its relaxed geometry. The functional is GGA-PBE.

Results
* uncorrected energy: -44.62 eV per formula unit
* energy relative to the elements: 0.0764 eV/atom

Cell lengths 6.892, 4.163, 7.511 Å; angles 90.00, 93.73, 90.00 degrees
Space group C2/m (No. 12)
Inequivalent atoms, fractional coordinates:
Mn (0.000, 0.000, 0.000) (multiplicity 2)
Cu (0.001, 0.000, 0.339) (multiplicity 4)
Cu (0.165, 0.500, 0.776) (multiplicity 4)
Cu (0.168, 0.500, 0.120) (multiplicity 4)
Ni (0.167, 0.500, 0.448) (multiplicity 4)

=====

No. 11
This record from Alexandria via LeMat-Bulk describes crystalline MnCu2Ni at its relaxed geometry. The functional is GGA-PBE.

Results
* uncorrected energy: -22.67 eV per formula unit
* energy relative to the elements: 0.1178 eV/atom

Cell lengths 4.954, 8.525, 2.543 Å; angles 90.00, 115.38, 90.00 degrees
Space group C2/m (No. 12)
Inequivalent atoms, fractional coordinates:
Mn (0.000, 0.000, 0.000) (multiplicity 2)
Cu (0.250, 0.250, 0.500) (multiplicity 4)
Ni (0.000, 0.500, 0.000) (multiplicity 2)

=====

No. 12
This record from Alexandria via LeMat-Bulk describes crystalline MnCuNi at its relaxed geometry. The functional is GGA-PBE.

Results
* uncorrected energy: -17.50 eV per formula unit
* energy relative to the elements: 0.5145 eV/atom

Cell lengths 5.579, 5.579, 5.579 Å; angles 90.00, 90.00, 90.00 degrees
Space group F-43m (No. 216)
Inequivalent atoms, fractional coordinates:
Mn (0.000, 0.000, 0.000) (multiplicity 4)
Cu (0.250, 0.250, 0.750) (multiplicity 4)
Ni (0.250, 0.250, 0.250) (multiplicity 4)

=====

No. 13
This record from Alexandria via LeMat-Bulk describes crystalline Mn2CuNi2 at its relaxed geometry. The functional is GGA-PBE.

Results
* uncorrected energy: -32.47 eV per formula unit
* energy relative to the elements: 0.3058 eV/atom

Cell lengths 6.883, 6.883, 2.478 Å; angles 90.00, 90.00, 90.00 degrees
Space group P4/mbm (No. 127)
Inequivalent atoms, fractional coordinates:
Mn (0.105, 0.395, 0.000) (multiplicity 4)
Cu (0.000, 0.000, 0.000) (multiplicity 2)
Ni (0.187, 0.687, 0.500) (multiplicity 4)

=====

No. 14
This record from Alexandria via LeMat-Bulk describes crystalline MnCu2Ni at its relaxed geometry. The functional is GGA-PBE.

Results
* uncorrected energy: -21.51 eV per formula unit
* energy relative to the elements: 0.4089 eV/atom

Cell lengths 6.647, 6.647, 4.884 Å; angles 90.00, 90.00, 90.00 degrees
Space group I-42d (No. 122)
Inequivalent atoms, fractional coordinates:
Mn (0.000, 0.000, 0.000) (multiplicity 4)
Cu (0.234, 0.750, 0.625) (multiplicity 8)
Ni (0.000, 0.000, 0.500) (multiplicity 4)

=====

No. 15
This record from Alexandria via LeMat-Bulk describes crystalline MnCu2Ni at its relaxed geometry. The functional is GGA-PBE.

Results
* uncorrected energy: -23.15 eV per formula unit
* energy relative to the elements: -0.0007 eV/atom

Cell lengths 3.647, 3.647, 7.235 Å; angles 90.00, 90.00, 90.00 degrees
Space group I-4m2 (No. 119)
Inequivalent atoms, fractional coordinates:
Mn (0.000, 0.000, 0.000) (multiplicity 2)
Cu (0.000, 0.000, 0.500) (multiplicity 2)
Cu (0.000, 0.500, 0.750) (multiplicity 2)
Ni (0.000, 0.500, 0.250) (multiplicity 2)

=====

No. 16
This record from Alexandria via LeMat-Bulk describes crystalline MnCu3Ni12 at its relaxed geometry. The functional is GGA-PBE.

Results
* uncorrected energy: -90.65 eV per formula unit
* energy relative to the elements: 0.0114 eV/atom

Cell lengths 3.537, 3.537, 14.245 Å; angles 90.00, 90.00, 90.00 degrees
Space group P4/mmm (No. 123)
Inequivalent atoms, fractional coordinates:
Mn (0.000, 0.000, 0.000) (multiplicity 1)
Cu (0.000, 0.000, 0.251) (multiplicity 2)
Cu (0.000, 0.000, 0.500) (multiplicity 1)
Ni (0.000, 0.500, 0.126) (multiplicity 4)
Ni (0.000, 0.500, 0.376) (multiplicity 4)
Ni (0.500, 0.500, 0.000) (multiplicity 1)
Ni (0.500, 0.500, 0.250) (multiplicity 2)
Ni (0.500, 0.500, 0.500) (multiplicity 1)

=====

No. 17
This record from Alexandria via LeMat-Bulk describes crystalline MnCu2Ni at its relaxed geometry. The functional is GGA-PBE.

Results
* uncorrected energy: -22.80 eV per formula unit
* energy relative to the elements: 0.0867 eV/atom

Cell lengths 5.798, 5.798, 5.798 Å; angles 90.00, 90.00, 90.00 degrees
Space group Fm-3m (No. 225)
Inequivalent atoms, fractional coordinates:
Mn (0.000, 0.000, 0.000) (multiplicity 4)
Cu (0.250, 0.250, 0.250) (multiplicity 8)
Ni (0.000, 0.000, 0.500) (multiplicity 4)

=====

No. 18
This record from Alexandria via LeMat-Bulk describes crystalline MnCuNi at its relaxed geometry. The functional is GGA-PBE.

Results
* uncorrected energy: -18.86 eV per formula unit
* energy relative to the elements: 0.0616 eV/atom

Cell lengths 2.635, 12.075, 6.963 Å; angles 90.00, 90.00, 90.00 degrees
Space group Amm2 (No. 38)
Inequivalent atoms, fractional coordinates:
Mn (0.000, 0.000, 0.000) (multiplicity 2)
Mn (0.000, 0.183, 0.449) (multiplicity 4)
Cu (0.500, 0.000, 0.334) (multiplicity 2)
Cu (0.500, 0.149, 0.783) (multiplicity 4)
Ni (0.000, 0.000, 0.633) (multiplicity 2)
Ni (0.500, 0.167, 0.133) (multiplicity 4)

=====

No. 19
This record from Alexandria via LeMat-Bulk describes crystalline MnCu8Ni5 at its relaxed geometry. The functional is GGA-PBE.

Results
* uncorrected energy: -67.35 eV per formula unit
* energy relative to the elements: 0.2497 eV/atom

Cell lengths 6.898, 6.898, 7.335 Å; angles 90.00, 90.00, 90.00 degrees
Space group I-4 (No. 82)
Inequivalent atoms, fractional coordinates:
Mn (0.000, 0.000, 0.000) (multiplicity 2)
Cu (0.068, 0.834, 0.346) (multiplicity 8)
Cu (0.107, 0.666, 0.998) (multiplicity 8)
Ni (0.000, 0.500, 0.250) (multiplicity 2)
Ni (0.121, 0.703, 0.674) (multiplicity 8)

=====

No. 20
This record from Alexandria via LeMat-Bulk describes crystalline MnCu2Ni at its relaxed geometry. The functional is GGA-PBE.

Results
* uncorrected energy: -22.77 eV per formula unit
* energy relative to the elements: 0.0923 eV/atom

Cell lengths 2.5467, 2.5467, 25.1075 Å; angles 90.00, 90.00, 120.00 degrees
Space group R3m (No. 160, hexagonal axes)
Inequivalent atoms, fractional coordinates:
Mn (0.0000, 0.0000, 0.0000) (multiplicity 3)
Cu (0.0000, 0.0000, 0.2481) (multiplicity 3)
Cu (0.0000, 0.0000, 0.4971) (multiplicity 3)
Ni (0.0000, 0.0000, 0.7477) (multiplicity 3)

=====

No. 21
This record from Alexandria via LeMat-Bulk describes crystalline MnCu2Ni at its relaxed geometry. The functional is GGA-PBE.

Results
* uncorrected energy: -22.91 eV per formula unit
* energy relative to the elements: 0.0585 eV/atom

Cell lengths 8.420, 2.692, 4.393 Å; angles 90.00, 102.59, 90.00 degrees
Space group Cm (No. 8)
Inequivalent atoms, fractional coordinates:
Mn (0.000, 0.000, 0.000) (multiplicity 2)
Cu (0.005, 0.500, 0.506) (multiplicity 2)
Cu (0.255, 0.500, 0.270) (multiplicity 2)
Ni (0.253, 0.000, 0.765) (multiplicity 2)

=====

No. 22
This record from Alexandria via LeMat-Bulk describes crystalline Mn3Cu2Ni8 at its relaxed geometry. The functional is GGA-PBE.

Results
* uncorrected energy: -79.53 eV per formula unit
* energy relative to the elements: 0.1866 eV/atom

Cell lengths 4.6145, 4.6145, 26.6555 Å; angles 90.00, 90.00, 120.00 degrees
Space group R-3m (No. 166, hexagonal axes)
Inequivalent atoms, fractional coordinates:
Mn (0.0000, 0.0000, 0.0000) (multiplicity 3)
Mn (0.0000, 0.0000, 0.1825) (multiplicity 6)
Cu (0.0000, 0.0000, 0.3591) (multiplicity 6)
Ni (0.0000, 0.0000, 0.2723) (multiplicity 6)
Ni (0.9996, 0.4998, 0.2309) (multiplicity 18)

=====

No. 23
This record from Alexandria via LeMat-Bulk describes crystalline MnCu2Ni at its relaxed geometry. The functional is GGA-PBE.

Results
* uncorrected energy: -23.14 eV per formula unit
* energy relative to the elements: 0.0018 eV/atom

Cell lengths 3.567, 3.567, 7.580 Å; angles 90.00, 90.00, 90.00 degrees
Space group I4/mmm (No. 139)
Inequivalent atoms, fractional coordinates:
Mn (0.000, 0.000, 0.000) (multiplicity 2)
Cu (0.000, 0.500, 0.250) (multiplicity 4)
Ni (0.000, 0.000, 0.500) (multiplicity 2)

=====

No. 24
This record from Alexandria via LeMat-Bulk describes crystalline MnCuNi at its relaxed geometry. The functional is GGA-PBE.

Results
* uncorrected energy: -17.89 eV per formula unit
* energy relative to the elements: 0.3869 eV/atom

Cell lengths 5.579, 5.579, 5.579 Å; angles 90.00, 90.00, 90.00 degrees
Space group F-43m (No. 216)
Inequivalent atoms, fractional coordinates:
Mn (0.000, 0.000, 0.000) (multiplicity 4)
Cu (0.000, 0.000, 0.500) (multiplicity 4)
Ni (0.250, 0.250, 0.250) (multiplicity 4)